#i
DFT (PBE) results for a relaxed structure of PrTmO2.

abc: 3.5588 3.5588 7.0766
angles: 75.44 75.44 60.00
Positions (direct):
O1 0.1158 0.1158 0.6527
O2 0.8842 0.8842 0.3473
Pr1 0.0000 0.0000 0.0000
Tm1 0.5000 0.5000 0.5000

ρ	7.64	g/cm³
calculated volume	74.3	Å³ per cell
DOS(E_F)	0.13	states/eV/atom
symmetry	R-3m, No. 166



#ii
DFT (PBE) results for a relaxed structure of PrTmO2.

abc: 3.4214 3.4214 6.4490
angles: 74.62 74.62 60.00
Positions (direct):
O1 0.0648 0.0648 0.8056
O2 0.2695 0.2695 0.1916
Tm1 0.6710 0.6710 0.9869
Pr1 0.4947 0.4947 0.5159

ρ	9.12	g/cm³
calculated volume	62.2	Å³ per cell
DOS(E_F)	0.18	states/eV/atom
symmetry	R3m, No. 160



What is the most stable structure shown above? It is #i.